(1)
## LaY2Cl (GGA-PBE)

Data for LaY2Cl after structural relaxation.

Properties
calculated total energy = -5.4834 eV per atom
space group = Amm2 (38)
formation energy without anion corrections = -0.5578 eV/atom
total magnetization = 0.0 μB/f.u.
energy above the lowest structure with this stoichiometry = 0.45 eV/f.u.

```
data_LaY2Cl
_chemical_formula_sum 'La1 Y2 Cl1'
_cell_length_a 3.954
_cell_length_b 4.081
_cell_length_c 7.863
_cell_angle_alpha 74.96
_cell_angle_beta 90.00
_cell_angle_gamma 90.00
_space_group_name_H-M_alt 'P 1'
_space_group_IT_number 1
_space_group_name_Hall 'P 1'
loop_
_atom_site_label
_atom_site_type_symbol
_atom_site_fract_x
_atom_site_fract_y
_atom_site_fract_z
Y1 Y 0.000 0.069 0.988
Cl1 Cl 0.000 0.261 0.603
Y2 Y 0.500 0.437 0.251
La1 La 0.500 0.733 0.658
```

---

(2)
## La2TbPt (GGA-PBE)

Data for La2TbPt after structural relaxation.

Properties
calculated total energy = -5.6240 eV per atom
space group = P4/mmm (123)
total magnetization = 0.0 μB/f.u.
energy above the lowest structure with this stoichiometry = 0.62 eV/f.u.

```
data_La2TbPt
_chemical_formula_sum 'La2 Tb1 Pt1'
_cell_length_a 3.774
_cell_length_b 3.774
_cell_length_c 8.314
_cell_angle_alpha 90.00
_cell_angle_beta 90.00
_cell_angle_gamma 90.00
_space_group_name_H-M_alt 'P 1'
_space_group_IT_number 1
_space_group_name_Hall 'P 1'
loop_
_atom_site_label
_atom_site_type_symbol
_atom_site_fract_x
_atom_site_fract_y
_atom_site_fract_z
Tb1 Tb 0.500 0.500 0.500
Pt1 Pt 0.500 0.500 0.000
La1 La 0.000 0.000 0.203
La2 La 0.000 0.000 0.797
```